The following is a DFT calculation (GGA-PBE) of crystalline SnTe3Pd at its relaxed geometry.

Cell lengths 4.149, 7.003, 10.501 Å; angles 98.68, 90.00, 90.00 degrees
Fractional positions:
Pd1 0.250 0.748 0.996
Sn1 0.750 0.192 0.625
Sn2 0.250 0.808 0.375
Pd2 0.750 0.252 0.004
Te1 0.750 0.553 0.868
Te2 0.750 0.938 0.132
Te3 0.250 0.447 0.132
Te4 0.250 0.062 0.868
Te5 0.250 0.245 0.431
Te6 0.750 0.755 0.569

Summary:
M_tot: 0.000 Bohr magnetons per cell
relative energy among the computed polymorphs: 0.000 eV per formula unit
ρ: 6.7 Mg/m³
energy relative to the elements, uncorrected: -1.2 eV per formula unit


The following is a DFT calculation (GGA-PBE) of crystalline CaHo5Ru4 at its relaxed geometry.

Cell lengths 3.415, 3.415, 19.381 Å; angles 90.00, 90.00, 90.00 degrees
Fractional positions:
Ho1 0.500 0.500 0.156
Ru1 0.000 0.000 0.587
Ca1 0.000 0.000 0.000
Ho2 0.500 0.500 0.500
Ho3 0.500 0.500 0.844
Ru2 0.000 0.000 0.413
Ru3 0.000 0.000 0.766
Ho4 0.500 0.500 0.328
Ru4 0.000 0.000 0.234
Ho5 0.500 0.500 0.672

Summary:
M_tot: 0.000 Bohr magnetons per cell
DFT formation energy: -0.3265 eV per atom
ρ: 9.3 Mg/m³


The following is a DFT calculation (GGA-PBE) of crystalline YPF3 at its relaxed geometry.

Cell lengths 4.374, 4.374, 4.374 Å; angles 90.00, 90.00, 90.00 degrees
Fractional positions:
F1 0.000 0.000 0.500
Y1 0.500 0.500 0.500
F2 0.500 0.000 0.000
F3 0.000 0.500 0.000
P1 0.000 0.000 0.000

Summary:
M_tot: 0.006 Bohr magnetons per cell
relative energy among the computed polymorphs: 6.600 eV per formula unit
ρ: 3.5 Mg/m³
energy relative to the elements, uncorrected: -5.8 eV per formula unit